# 1
Compound: Ho2AlPd
Source: Alexandria
Functional: PBE
Structure: optimized geometry

Structure (POSCAR):
```
Ho2AlPd
1.0
-1.134 1.866 2.803
0.969 -2.652 2.157
6.385 2.876 0.669
Pd Al Ho
1 1 2
Cartesian
-0.083 -0.393 2.480
3.110 1.045 2.814
4.855 2.187 0.508
1.530 0.689 0.160
```

raw total energy: -0.19021 Ha/atom

# 2
Compound: Ho3Al8Pd3
Source: Alexandria
Functional: PBE
Structure: optimized geometry

Structure (POSCAR):
```
Ho3Al8Pd3
1.0
4.254 0.000 1.122
1.444 7.349 3.152
0.115 -0.306 8.187
Pd Al Ho
3 8 3
Cartesian
1.918 2.145 1.353
3.895 4.898 11.108
0.780 3.522 5.669
3.140 4.772 5.344
4.267 6.972 9.697
2.673 2.271 7.116
4.345 2.918 9.401
4.946 6.090 7.123
1.546 0.071 2.764
0.867 0.953 5.337
1.468 4.125 3.060
2.340 5.077 8.377
3.473 1.966 4.083
0.000 0.000 0.000
```

raw total energy: -0.18119 Ha/atom
ΔE to the lowest computed polymorph: 0.0 meV per atom

# 3
Compound: Ho3Al9Pd2
Source: Alexandria
Functional: PBE
Structure: optimized geometry

Structure (POSCAR):
```
Ho3Al9Pd2
1.0
-3.355 2.675 0.361
-3.325 -1.689 7.288
2.483 5.889 5.116
Al Ho Pd
9 3 2
Cartesian
-2.134 6.312 10.432
-2.016 0.250 5.082
0.510 3.546 4.137
-2.181 6.625 7.683
-0.421 2.100 6.202
-3.683 4.291 11.011
-0.514 2.584 1.754
-4.707 3.328 8.628
-2.063 0.563 2.333
-1.599 3.741 8.780
-2.599 3.134 3.985
0.000 0.000 0.000
-0.979 4.899 5.964
-3.219 1.976 6.801
```

raw total energy: -0.17437 Ha/atom

no.,ρ (g cm⁻³)
1,8.7
2,6.6
3,6.0